CaPrMnSbO6: optimized geometry, PBE+U.

Cell and atoms, written as POSCAR:
```
CaPrMnSbO6
1.0
-5.7123 -0.3276 -0.0626
-3.0823 4.2201 -2.3306
-2.7622 -0.8642 -4.9361
Ca O Mn Pr Sb
1 6 1 1 1
Cartesian
-2.8892 0.7571 -1.8323 Ca
-5.8106 2.4114 -5.4195 O
-5.7462 0.6169 -1.9098 O
-4.4649 2.8324 -3.0147 O
-7.0919 0.1958 -4.3146 O
-7.2478 2.6728 -3.0452 O
-4.3089 0.3554 -4.2841 O
0.0000 0.0000 0.0000 Mn
-8.6676 2.2712 -5.4969 Pr
-5.7784 1.5141 -3.6646 Sb
```

Total magnetic moment: 0.5000 μB per atom
Raw total energy: -7.0021 eV/atom
Space-group type: F-43m, No. 216